Compound: ScAlRu
Source: Alexandria
Functional: PBE-GGA
Structure: optimized geometry

Computed properties:
Total magnetic moment, μB/cell: 0.00
Fermi-level density of states, states/eV/f.u.: 1.731
Total energy, eV/f.u.: -20.8

```
ScAlRu
1.0
4.2979 0.0000 0.0000
-2.1489 3.7221 0.0000
0.0000 0.0000 3.2264
Ru Sc Al
1 1 1
Cartesian
2.1489 1.2407 0.5406
0.0000 2.4814 2.1499
0.0000 0.0000 0.5359
```